# Mn3Fe9P4 (meta-GGA SCAN, single point on PBEsol structure)
data_Mn3Fe9P4
_space_group_name_H-M_alt 'P 1'
_space_group_IT_number 1
_cell_length_a 4.344
_cell_length_b 6.590
_cell_length_c 6.594
_cell_angle_alpha 83.77
_cell_angle_beta 71.04
_cell_angle_gamma 70.73
loop_
_space_group_symop_operation_xyz
'x,y,z'
loop_
_atom_site_label
_atom_site_type_symbol
_atom_site_fract_x
_atom_site_fract_y
_atom_site_fract_z
Mn1 Mn 0.165 0.174 0.972
Mn2 Mn 0.304 0.819 0.024
Mn3 Mn 0.881 0.973 0.815
Fe1 Fe 0.658 0.026 0.179
Fe2 Fe 0.624 0.392 0.328
Fe3 Fe 0.343 0.611 0.676
Fe4 Fe 0.042 0.327 0.610
Fe5 Fe 0.986 0.675 0.390
Fe6 Fe 0.586 0.387 0.952
Fe7 Fe 0.924 0.614 0.050
Fe8 Fe 0.461 0.951 0.612
Fe9 Fe 0.025 0.048 0.388
P1 P 0.197 0.338 0.248
P2 P 0.784 0.662 0.754
P3 P 0.553 0.247 0.661
P4 P 0.467 0.754 0.339
# - Calculated density: 7.80 Mg/m³
# - Fermi-level density of states: 10.92 states/eV/f.u.
# - Total energy: -264.8 eV/cell
# - DFT formation energy: -0.328 eV per atom
# - V: 10.54 Å³ per atom

***

# Mn2FeP (meta-GGA SCAN, single point on PBEsol structure)
data_Mn2FeP
_space_group_name_H-M_alt 'P 1'
_space_group_IT_number 1
_cell_length_a 2.838
_cell_length_b 3.838
_cell_length_c 3.815
_cell_angle_alpha 89.99
_cell_angle_beta 90.00
_cell_angle_gamma 90.00
loop_
_space_group_symop_operation_xyz
'x,y,z'
loop_
_atom_site_label
_atom_site_type_symbol
_atom_site_fract_x
_atom_site_fract_y
_atom_site_fract_z
Fe1 Fe 0.000 0.500 0.500
Mn1 Mn 0.000 0.000 0.000
Mn2 Mn 0.500 0.500 0.000
P1 P 0.500 0.000 0.500
# - Calculated density: 7.86 Mg/m³
# - Fermi-level density of states: 1.37 states/eV/f.u.
# - Total energy: -66.1 eV/cell
# - DFT formation energy: -0.274 eV per atom
# - V: 10.39 Å³ per atom

***

# TaMnFeP2 (meta-GGA SCAN, single point on PBEsol structure)
data_TaMnFeP2
_space_group_name_H-M_alt 'P 1'
_space_group_IT_number 1
_cell_length_a 4.610
_cell_length_b 4.700
_cell_length_c 4.700
_cell_angle_alpha 90.00
_cell_angle_beta 90.00
_cell_angle_gamma 90.00
loop_
_space_group_symop_operation_xyz
'x,y,z'
loop_
_atom_site_label
_atom_site_type_symbol
_atom_site_fract_x
_atom_site_fract_y
_atom_site_fract_z
P1 P 0.000 0.000 0.500
P2 P 0.000 0.500 0.000
Mn1 Mn 0.500 0.500 0.500
Fe1 Fe 0.500 0.000 0.000
Ta1 Ta 0.000 0.000 0.000
# - Calculated density: 5.77 Mg/m³
# - Fermi-level density of states: 2.87 states/eV/f.u.
# - Total energy: -119.8 eV/cell
# - DFT formation energy: 0.784 eV per atom
# - V: 20.36 Å³ per atom

***

# Mn2FePb (meta-GGA SCAN, single point on PBEsol structure)
data_Mn2FePb
_space_group_name_H-M_alt 'P 1'
_space_group_IT_number 1
_cell_length_a 3.987
_cell_length_b 3.987
_cell_length_c 4.569
_cell_angle_alpha 115.87
_cell_angle_beta 115.87
_cell_angle_gamma 90.00
loop_
_space_group_symop_operation_xyz
'x,y,z'
loop_
_atom_site_label
_atom_site_type_symbol
_atom_site_fract_x
_atom_site_fract_y
_atom_site_fract_z
Fe1 Fe 0.000 0.500 0.000
Mn1 Mn 0.750 0.750 0.500
Mn2 Mn 0.250 0.250 0.500
Pb1 Pb 0.500 0.000 0.000
# - Calculated density: 10.84 Mg/m³
# - Fermi-level density of states: 2.81 states/eV/f.u.
# - Total energy: -129.6 eV/cell
# - DFT formation energy: 0.209 eV per atom
# - V: 14.29 Å³ per atom

***

# MnFe2Re (meta-GGA SCAN, single point on PBEsol structure)
data_MnFe2Re
_space_group_name_H-M_alt 'P 1'
_space_group_IT_number 1
_cell_length_a 2.562
_cell_length_b 2.562
_cell_length_c 8.254
_cell_angle_alpha 81.07
_cell_angle_beta 81.07
_cell_angle_gamma 60.00
loop_
_space_group_symop_operation_xyz
'x,y,z'
loop_
_atom_site_label
_atom_site_type_symbol
_atom_site_fract_x
_atom_site_fract_y
_atom_site_fract_z
Fe1 Fe 0.245 0.245 0.264
Fe2 Fe 0.755 0.755 0.736
Mn1 Mn 0.500 0.500 0.500
Re1 Re 0.000 0.000 0.000
# - ΔE to the lowest computed polymorph: 180 meV/atom
# - Calculated density: 12.69 Mg/m³
# - Fermi-level density of states: 3.88 states/eV/f.u.
# - Total energy: -124.6 eV/cell
# - DFT formation energy: 0.258 eV per atom
# - V: 11.54 Å³ per atom

***

# MnFeRe2 (meta-GGA SCAN, single point on PBEsol structure)
data_MnFeRe2
_space_group_name_H-M_alt 'P 1'
_space_group_IT_number 1
_cell_length_a 3.122
_cell_length_b 4.105
_cell_length_c 4.795
_cell_angle_alpha 115.34
_cell_angle_beta 109.00
_cell_angle_gamma 90.00
loop_
_space_group_symop_operation_xyz
'x,y,z'
loop_
_atom_site_label
_atom_site_type_symbol
_atom_site_fract_x
_atom_site_fract_y
_atom_site_fract_z
Fe1 Fe 0.000 0.500 0.000
Mn1 Mn 0.500 0.000 0.000
Re1 Re 0.751 0.751 0.503
Re2 Re 0.249 0.249 0.497
# - Calculated density: 15.49 Mg/m³
# - Fermi-level density of states: 2.94 states/eV/f.u.
# - Total energy: -178.5 eV/cell
# - DFT formation energy: 0.023 eV per atom
# - V: 12.95 Å³ per atom

***

# MnFe2Re (meta-GGA SCAN, single point on PBEsol structure)
data_MnFe2Re
_space_group_name_H-M_alt 'P 1'
_space_group_IT_number 1
_cell_length_a 2.547
_cell_length_b 4.378
_cell_length_c 4.378
_cell_angle_alpha 109.68
_cell_angle_beta 90.00
_cell_angle_gamma 90.00
loop_
_space_group_symop_operation_xyz
'x,y,z'
loop_
_atom_site_label
_atom_site_type_symbol
_atom_site_fract_x
_atom_site_fract_y
_atom_site_fract_z
Fe1 Fe 0.000 0.500 0.000
Fe2 Fe 0.000 0.000 0.500
Mn1 Mn 0.500 0.000 0.000
Re1 Re 0.500 0.500 0.500
# - ΔE to the lowest computed polymorph: 0 meV/atom
# - Calculated density: 12.75 Mg/m³
# - Fermi-level density of states: 3.18 states/eV/f.u.
# - Total energy: -125.3 eV/cell
# - DFT formation energy: 0.078 eV per atom
# - V: 11.49 Å³ per atom

***

# MnFeRh2 (meta-GGA SCAN, single point on PBEsol structure)
data_MnFeRh2
_space_group_name_H-M_alt 'P 1'
_space_group_IT_number 1
_cell_length_a 2.601
_cell_length_b 3.646
_cell_length_c 5.209
_cell_angle_alpha 90.00
_cell_angle_beta 90.00
_cell_angle_gamma 90.00
loop_
_space_group_symop_operation_xyz
'x,y,z'
loop_
_atom_site_label
_atom_site_type_symbol
_atom_site_fract_x
_atom_site_fract_y
_atom_site_fract_z
Fe1 Fe 0.000 0.000 0.506
Mn1 Mn 0.500 0.500 0.744
Rh1 Rh 0.000 0.000 0.986
Rh2 Rh 0.500 0.500 0.263
# - Calculated density: 10.64 Mg/m³
# - Fermi-level density of states: 3.92 states/eV/f.u.
# - Total energy: -104.6 eV/cell
# - DFT formation energy: -0.171 eV per atom
# - V: 12.35 Å³ per atom

***

# MnFe2Ru (meta-GGA SCAN, single point on PBEsol structure)
data_MnFe2Ru
_space_group_name_H-M_alt 'P 1'
_space_group_IT_number 1
_cell_length_a 3.536
_cell_length_b 3.536
_cell_length_c 4.375
_cell_angle_alpha 113.83
_cell_angle_beta 113.83
_cell_angle_gamma 90.00
loop_
_space_group_symop_operation_xyz
'x,y,z'
loop_
_atom_site_label
_atom_site_type_symbol
_atom_site_fract_x
_atom_site_fract_y
_atom_site_fract_z
Fe1 Fe 0.750 0.250 0.500
Fe2 Fe 0.250 0.750 0.500
Mn1 Mn 0.500 0.500 0.000
Ru1 Ru 0.000 0.000 0.000
# - Calculated density: 9.90 Mg/m³
# - Fermi-level density of states: 3.35 states/eV/f.u.
# - Total energy: -89.4 eV/cell
# - DFT formation energy: -0.008 eV per atom
# - V: 11.22 Å³ per atom

***

# MnFeRu2 (meta-GGA SCAN, single point on PBEsol structure)
data_MnFeRu2
_space_group_name_H-M_alt 'P 1'
_space_group_IT_number 1
_cell_length_a 2.592
_cell_length_b 3.894
_cell_length_c 4.840
_cell_angle_alpha 90.00
_cell_angle_beta 105.55
_cell_angle_gamma 90.00
loop_
_space_group_symop_operation_xyz
'x,y,z'
loop_
_atom_site_label
_atom_site_type_symbol
_atom_site_fract_x
_atom_site_fract_y
_atom_site_fract_z
Ru1 Ru 0.083 0.000 0.166
Ru2 Ru 0.421 0.500 0.842
Mn1 Mn 0.691 0.500 0.381
Fe1 Fe 0.814 0.000 0.629
# - Calculated density: 11.04 Mg/m³
# - Fermi-level density of states: 4.09 states/eV/f.u.
# - Total energy: -105.2 eV/cell
# - DFT formation energy: 0.208 eV per atom
# - V: 11.76 Å³ per atom

***

# MnFeRu (meta-GGA SCAN, single point on PBEsol structure)
data_MnFeRu
_space_group_name_H-M_alt 'P 1'
_space_group_IT_number 1
_cell_length_a 3.808
_cell_length_b 3.808
_cell_length_c 3.808
_cell_angle_alpha 60.00
_cell_angle_beta 60.00
_cell_angle_gamma 60.00
loop_
_space_group_symop_operation_xyz
'x,y,z'
loop_
_atom_site_label
_atom_site_type_symbol
_atom_site_fract_x
_atom_site_fract_y
_atom_site_fract_z
Fe1 Fe 0.500 0.500 0.500
Mn1 Mn 0.250 0.250 0.250
Ru1 Ru 0.000 0.000 0.000
# - ΔE to the lowest computed polymorph: 423 meV/atom
# - Calculated density: 9.01 Mg/m³
# - Fermi-level density of states: 3.13 states/eV/f.u.
# - Total energy: -69.5 eV/cell
# - DFT formation energy: 0.560 eV per atom
# - V: 13.02 Å³ per atom

***

# MnFe2Ru (meta-GGA SCAN, single point on PBEsol structure)
data_MnFe2Ru
_space_group_name_H-M_alt 'P 1'
_space_group_IT_number 1
_cell_length_a 2.861
_cell_length_b 4.047
_cell_length_c 4.717
_cell_angle_alpha 115.40
_cell_angle_beta 107.66
_cell_angle_gamma 90.00
loop_
_space_group_symop_operation_xyz
'x,y,z'
loop_
_atom_site_label
_atom_site_type_symbol
_atom_site_fract_x
_atom_site_fract_y
_atom_site_fract_z
Fe1 Fe 0.006 0.006 0.013
Fe2 Fe 0.750 0.250 0.500
Mn1 Mn 0.495 0.495 0.990
Ru1 Ru 0.249 0.749 0.497
# - Calculated density: 9.56 Mg/m³
# - Fermi-level density of states: 4.11 states/eV/f.u.
# - Total energy: -89.1 eV/cell
# - DFT formation energy: 0.048 eV per atom
# - V: 11.62 Å³ per atom

***

# MnFeRu (meta-GGA SCAN, single point on PBEsol structure)
data_MnFeRu
_space_group_name_H-M_alt 'P 1'
_space_group_IT_number 1
_cell_length_a 2.547
_cell_length_b 3.916
_cell_length_c 3.916
_cell_angle_alpha 120.00
_cell_angle_beta 90.00
_cell_angle_gamma 90.00
loop_
_space_group_symop_operation_xyz
'x,y,z'
loop_
_atom_site_label
_atom_site_type_symbol
_atom_site_fract_x
_atom_site_fract_y
_atom_site_fract_z
Ru1 Ru 0.500 0.667 0.333
Mn1 Mn 0.000 0.333 0.667
Fe1 Fe 0.000 0.000 0.000
# - ΔE to the lowest computed polymorph: 0 meV/atom
# - Calculated density: 10.40 Mg/m³
# - Fermi-level density of states: 3.18 states/eV/f.u.
# - Total energy: -70.8 eV/cell
# - DFT formation energy: 0.137 eV per atom
# - V: 11.27 Å³ per atom

***

# MnFe2Ru (meta-GGA SCAN, single point on PBEsol structure)
data_MnFe2Ru
_space_group_name_H-M_alt 'P 1'
_space_group_IT_number 1
_cell_length_a 2.831
_cell_length_b 2.831
_cell_length_c 5.823
_cell_angle_alpha 90.00
_cell_angle_beta 90.00
_cell_angle_gamma 90.00
loop_
_space_group_symop_operation_xyz
'x,y,z'
loop_
_atom_site_label
_atom_site_type_symbol
_atom_site_fract_x
_atom_site_fract_y
_atom_site_fract_z
Ru1 Ru 0.500 0.500 0.746
Mn1 Mn 0.000 0.000 0.489
Fe1 Fe 0.000 0.000 0.018
Fe2 Fe 0.500 0.500 0.248
# - Calculated density: 9.52 Mg/m³
# - Fermi-level density of states: 3.02 states/eV/f.u.
# - Total energy: -89.4 eV/cell
# - DFT formation energy: -0.018 eV per atom
# - V: 11.67 Å³ per atom

***

# MnFe2Ru (meta-GGA SCAN, single point on PBEsol structure)
data_MnFe2Ru
_space_group_name_H-M_alt 'P 1'
_space_group_IT_number 1
_cell_length_a 2.850
_cell_length_b 4.048
_cell_length_c 4.071
_cell_angle_alpha 90.00
_cell_angle_beta 90.00
_cell_angle_gamma 90.00
loop_
_space_group_symop_operation_xyz
'x,y,z'
loop_
_atom_site_label
_atom_site_type_symbol
_atom_site_fract_x
_atom_site_fract_y
_atom_site_fract_z
Fe1 Fe 0.000 0.000 0.000
Fe2 Fe 0.500 0.500 0.000
Mn1 Mn 0.500 0.000 0.500
Ru1 Ru 0.000 0.500 0.500
# - Calculated density: 9.46 Mg/m³
# - Fermi-level density of states: 3.91 states/eV/f.u.
# - Total energy: -89.2 eV/cell
# - DFT formation energy: 0.039 eV per atom
# - V: 11.74 Å³ per atom